No. 1
CsPa4SnN8: relaxed, PBE-GGA.

Properties
**Energy**: -122.52 eV per cell
**Uncorrected formation energy**: -934 meV/atom
**Spin magnetization**: 0.0 μB/f.u.
**DOS(E_F)**: 0.33 states/eV per atom

Unit cell a=7.271 b=7.271 c=7.012 alpha=58.77 beta=58.77 gamma=60.00
Positions (direct):
Cs: 0.385 0.385 0.845
Pa: 0.618 0.618 0.145
Pa: 0.006 0.490 0.498
Pa: 0.490 0.006 0.498
Pa: 0.006 0.006 0.498
Sn: 0.012 0.012 0.964
N: 0.228 0.840 0.704
N: 0.840 0.228 0.704
N: 0.228 0.228 0.704
N: 0.224 0.224 0.328
N: 0.728 0.247 0.296
N: 0.247 0.728 0.296
N: 0.728 0.728 0.296
N: 0.759 0.759 0.722


No. 2
Al2PI: relaxed, PBE-GGA.

Properties
**Energy**: -28.41 eV per cell
**Uncorrected formation energy**: 59 meV/atom
**Spin magnetization**: 0.0 μB/f.u.
**DOS(E_F)**: 0.35 states/eV per atom
**Energy relative to the lowest polymorph listed for this composition**: 0.00 eV/f.u.

Unit cell a=7.044 b=7.044 c=6.418 alpha=56.72 beta=56.72 gamma=90.00
Positions (direct):
I: 0.000 0.000 0.000
I: 0.750 0.250 0.500
P: 0.500 0.500 0.000
P: 0.250 0.750 0.500
Al: 0.559 0.125 0.250
Al: 0.191 0.625 0.250
Al: 0.375 0.441 0.750
Al: 0.875 0.809 0.750


No. 3
PaTl3Pt2O8: relaxed, PBE-GGA.

Properties
**Energy**: -81.69 eV per cell
**Uncorrected formation energy**: -954 meV/atom
**Spin magnetization**: 0.0 μB/f.u.
**DOS(E_F)**: 0.59 states/eV per atom

Unit cell a=5.815 b=5.815 c=8.527 alpha=90.00 beta=90.00 gamma=120.00
Positions (direct):
Pa: 0.000 0.000 0.500
Tl: 0.333 0.667 0.664
Tl: 0.667 0.333 0.336
Tl: 0.000 0.000 0.000
Pt: 0.333 0.667 0.205
Pt: 0.667 0.333 0.795
O: 0.333 0.667 0.992
O: 0.667 0.333 0.008
O: 0.175 0.825 0.356
O: 0.825 0.175 0.644
O: 0.175 0.351 0.356
O: 0.825 0.649 0.644
O: 0.649 0.825 0.356
O: 0.351 0.175 0.644


No. 4
Ca5Hg4Au: relaxed, PBE-GGA.

Properties
**Energy**: -20.45 eV per cell
**Energy of formation from the pure elements**: -595.5 meV/atom
**Spin magnetization**: 0.0 μB/f.u.
**DOS(E_F)**: 0.66 states/eV per atom

Unit cell a=3.710 b=3.710 c=19.263 alpha=90.00 beta=90.00 gamma=90.00
Positions (direct):
Ca: 0.500 0.500 0.093
Ca: 0.500 0.500 0.297
Ca: 0.500 0.500 0.500
Ca: 0.500 0.500 0.703
Ca: 0.500 0.500 0.907
Hg: 0.000 0.000 0.196
Hg: 0.000 0.000 0.398
Hg: 0.000 0.000 0.602
Hg: 0.000 0.000 0.804
Au: 0.000 0.000 0.000


No. 5
LaNbIn3: relaxed, PBE-GGA.

Properties
**Energy**: -22.84 eV per cell
**Energy of formation from the pure elements**: 74.6 meV/atom
**Spin magnetization**: 0.0 μB/f.u.
**DOS(E_F)**: 0.55 states/eV per atom
**Energy relative to the lowest polymorph listed for this composition**: 0.00 eV/f.u.

Unit cell a=5.327 b=5.327 c=5.327 alpha=90.00 beta=90.00 gamma=90.00
Positions (direct):
Nb: 0.000 0.000 0.000
In: 0.000 0.500 0.000
In: 0.000 0.000 0.500
In: 0.500 0.000 0.000
La: 0.500 0.500 0.500


No. 6
LiTaRe2: relaxed, PBE-GGA.

Properties
**Energy**: -38.25 eV per cell
**Energy of formation from the pure elements**: 102.3 meV/atom
**Spin magnetization**: 0.0 μB/f.u.
**DOS(E_F)**: 0.54 states/eV per atom
**Energy relative to the lowest polymorph listed for this composition**: 0.00 eV/f.u.

Unit cell a=4.409 b=2.664 c=5.236 alpha=81.10 beta=90.00 gamma=90.00
Positions (direct):
Li: 0.500 0.750 0.750
Re: 0.000 0.001 0.989
Re: 0.000 0.499 0.511
Ta: 0.500 0.250 0.250


No. 7
Ca4PuCd5: relaxed, PBE-GGA.

Properties
**Energy**: -29.59 eV per cell
**Energy of formation from the pure elements**: -268.0 meV/atom
**Spin magnetization**: 6.1 μB/f.u.
**DOS(E_F)**: 1.34 states/eV per atom

Unit cell a=3.765 b=3.765 c=19.699 alpha=90.00 beta=90.00 gamma=90.00
Last column: magnetic moment on the atom in μB.
Positions (direct):
Ca: 0.000 0.000 0.201  0.00
Ca: 0.000 0.000 0.400  0.00
Ca: 0.000 0.000 0.600  0.00
Ca: 0.000 0.000 0.799  0.00
Pu: 0.000 0.000 0.000  5.55
Cd: 0.500 0.500 0.100  0.02
Cd: 0.500 0.500 0.300  0.00
Cd: 0.500 0.500 0.500  0.00
Cd: 0.500 0.500 0.700  0.00
Cd: 0.500 0.500 0.900  0.02


No. 8
TbYHoCu: relaxed, PBE-GGA.

Properties
**Energy**: -20.15 eV per cell
**Energy of formation from the pure elements**: -96.5 meV/atom
**Spin magnetization**: 0.0 μB/f.u.
**DOS(E_F)**: 1.33 states/eV per atom

Unit cell a=3.498 b=3.498 c=8.687 alpha=90.00 beta=90.00 gamma=90.00
Positions (direct):
Tb: 0.500 0.500 0.769
Y: 0.000 0.000 0.074
Ho: 0.500 0.500 0.376
Cu: 0.000 0.000 0.566


Here are the calculated V numbers, same order: 18.37, 25.10, 17.83, 26.52, 30.23, 15.19, 27.93, 26.58 (Å³/atom).
Here are the calculated calculated density numbers, same order: 8.32, 3.50, 9.06, 7.51, 6.33, 15.31, 5.75, 7.44 (g cm⁻³).